No. 1
TbScCo after structural relaxation. Source: Alexandria, functional GGA-PBE.

```
12
Lattice="6.4269 0.0000 0.0000 0.0000 6.4269 0.0000 0.0000 0.0000 6.4269" Properties=species:S:1:pos:R:3 pbc="T T T"
Tb 0.0000 0.0000 0.0000
Tb 0.0000 3.2134 3.2134
Tb 3.2134 0.0000 3.2134
Tb 3.2134 3.2134 0.0000
Sc 0.0000 0.0000 3.2134
Sc 0.0000 3.2134 0.0000
Sc 3.2134 0.0000 0.0000
Sc 3.2134 3.2134 3.2134
Co 1.6067 1.6067 1.6067
Co 1.6067 4.8202 4.8202
Co 4.8202 1.6067 4.8202
Co 4.8202 4.8202 1.6067
```

Computed properties:
**Formation energy**: -62 meV/atom
**Magnetic moment**: 0.004 μB/cell

No. 2
SiIrSeN2 after structural relaxation. Source: Alexandria, functional GGA-PBE.

```
5
Lattice="3.7987 0.0000 0.0000 0.0000 3.7987 0.0000 0.0000 0.0000 5.5785" Properties=species:S:1:pos:R:3 pbc="T T T"
Si 0.0000 0.0000 0.0000
Ir 1.8994 1.8994 2.7893
Se 1.8994 1.8994 0.0000
N 0.0000 1.8994 2.7893
N 1.8994 0.0000 2.7893
```

Computed properties:
**Magnetic moment**: 0.000 μB/cell
**Raw formation energy**: 0.957 eV per atom

No. 3
Rb2MnPBr6 after structural relaxation. Source: Alexandria, functional GGA-PBE.

```
10
Lattice="-3.7880 3.7880 5.8641 3.7880 -3.7880 5.8641 3.7880 3.7880 -5.8641" Properties=species:S:1:pos:R:3 pbc="T T T"
Rb 3.7880 0.0000 2.9321
Rb 0.0000 3.7880 2.9321
Mn 0.0000 0.0000 0.0000
P 0.0000 0.0000 5.8641
Br 0.0000 0.0000 2.4982
Br 1.9734 1.9734 0.0000
Br 1.8146 -1.8146 5.8641
Br -1.8146 1.8146 5.8641
Br 1.8146 1.8146 5.8641
Br 0.0000 0.0000 9.2300
```

Computed properties:
**Magnetic moment**: 6.000 μB/cell
**Raw formation energy**: -0.883 eV per atom

No. 4
ZrAlZn3 after structural relaxation. Source: Alexandria, functional GGA-PBE.

```
5
Lattice="5.2277 0.0000 0.0000 0.0000 5.2277 0.0000 0.0000 0.0000 5.2277" Properties=species:S:1:pos:R:3 pbc="T T T"
Zr 0.0000 0.0000 0.0000
Al 2.6138 2.6138 2.6138
Zn 0.0000 0.0000 2.6138
Zn 0.0000 2.6138 0.0000
Zn 2.6138 0.0000 0.0000
```

Computed properties:
**Formation energy**: 1071 meV/atom
**Magnetic moment**: 0.000 μB/cell

Q: Which of these has the highest magnetic moment?
A: Rb2MnPBr6